Entry 1:
4
Lattice="2.8432 0.0000 0.0000 0.0000 2.8432 0.0000 0.0000 0.0000 7.9914" Properties=species:S:1:pos:R:3 comment="PBE TlOs2Ru, optimized geometry" energy_ev_per_atom=-7.8186 pbc="T T T"
Tl 0.0000 0.0000 0.0000
Os 1.4216 1.4216 2.2203
Os 1.4216 1.4216 5.7710
Ru 0.0000 0.0000 3.9957

***

Entry 2:
4
Lattice="-1.4079 2.2828 5.1867 1.4079 -2.2828 5.1867 1.4079 2.2828 -5.1867" Properties=species:S:1:pos:R:3 comment="PBE TlOs2Ru, optimized geometry" energy_ev_per_atom=-7.7135 pbc="T T T"
Tl 0.0000 0.0000 0.0000
Os 1.4079 0.0000 2.9187
Os 0.0000 2.2828 2.2680
Ru 0.0000 0.0000 5.1867

***

Entry 3:
4
Lattice="4.6752 0.0000 0.0000 0.0000 4.6752 0.0000 0.0000 0.0000 2.9666" Properties=species:S:1:pos:R:3 comment="PBE TlOs2Ru, optimized geometry" energy_ev_per_atom=-7.4247 pbc="T T T"
Tl 0.0000 0.0000 0.0000
Os 0.0000 2.3376 1.4833
Os 2.3376 0.0000 1.4833
Ru 2.3376 2.3376 0.0000

***

Entry 4:
4
Lattice="2.7026 -4.1622 0.0000 2.7026 4.1622 0.0000 0.0000 0.0000 2.8560" Properties=species:S:1:pos:R:3 comment="PBE TlOs2Ru, optimized geometry" energy_ev_per_atom=-7.5926 pbc="T T T"
Tl 0.0000 0.0000 0.0000
Os 1.3513 2.0811 1.4280
Os 1.3513 -2.0811 1.4280
Ru 2.7026 0.0000 0.0000

***

Entry 5:
4
Lattice="4.5867 -1.4274 0.0000 4.5867 1.4274 0.0000 -0.8953 0.0000 4.9801" Properties=species:S:1:pos:R:3 comment="PBE TlOs2Ru, optimized geometry" energy_ev_per_atom=-7.8086 pbc="T T T"
Tl 0.0000 0.0000 0.0000
Os 1.5578 0.0000 3.4074
Os 4.0984 0.0000 2.5269
Ru 6.7427 0.0000 1.2733

***

Entry 6:
4
Lattice="2.8324 0.0000 0.0000 0.0000 4.8265 0.0000 -0.1377 0.0000 4.8582" Properties=species:S:1:pos:R:3 comment="PBE TlOs2Ru, optimized geometry" energy_ev_per_atom=-7.5619 pbc="T T T"
Tl 0.0000 0.0000 0.0000
Os 0.5739 2.4132 1.3310
Os 2.1208 2.4132 3.5271
Ru 1.3474 0.0000 2.4291

***

Entry 7:
4
Lattice="1.4259 0.8232 9.2278 -1.4259 0.8232 9.2278 0.0000 -1.6465 9.2278" Properties=species:S:1:pos:R:3 comment="PBE TlOs2Ru, optimized geometry" energy_ev_per_atom=-7.8799 pbc="T T T"
Tl 0.0000 0.0000 0.0000
Os 0.0000 0.0000 13.8803
Os 0.0000 0.0000 21.0093
Ru 0.0000 0.0000 6.7601

***

Entry 8:
4
Lattice="0.0000 3.1886 3.1886 3.1886 0.0000 3.1886 3.1886 3.1886 0.0000" Properties=species:S:1:pos:R:3 comment="PBE TlOs2Ru, optimized geometry" energy_ev_per_atom=-7.5592 pbc="T T T"
Tl 0.0000 0.0000 0.0000
Os 1.5943 1.5943 1.5943
Os 3.1886 3.1886 3.1886
Ru 4.7829 4.7829 4.7829

***

Entry 9:
4
Lattice="2.8039 0.0000 0.0000 0.0000 3.7594 0.0000 -0.0106 0.0000 6.2675" Properties=species:S:1:pos:R:3 comment="PBE TlOs2Ru, optimized geometry" energy_ev_per_atom=-7.8765 pbc="T T T"
Tl 0.0000 0.0000 0.0000
Os 2.7981 0.0000 3.1262
Os 1.3925 1.8797 4.3822
Ru 1.3987 1.8797 1.7591

***

Entry 10:
4
Lattice="0.0000 3.1875 3.1875 3.1875 0.0000 3.1875 3.1875 3.1875 0.0000" Properties=species:S:1:pos:R:3 comment="PBE TlOs2Ru, optimized geometry" energy_ev_per_atom=-7.4792 pbc="T T T"
Tl 0.0000 0.0000 0.0000
Os 1.5938 1.5938 1.5938
Os 4.7813 4.7813 4.7813
Ru 3.1875 3.1875 3.1875

***

Entry 11:
7
Lattice="2.4138 1.3936 7.4315 -2.4138 1.3936 7.4315 0.0000 -2.7873 7.4315" Properties=species:S:1:pos:R:3 comment="PBE Tm4OsRu2, optimized geometry" energy_ev_per_atom=-7.0745 pbc="T T T"
Tm 0.0000 0.0000 2.7553
Tm 0.0000 0.0000 8.3283
Tm 0.0000 0.0000 13.9662
Tm 0.0000 0.0000 19.5393
Os 0.0000 0.0000 11.1473
Ru 0.0000 0.0000 5.5414
Ru 0.0000 0.0000 16.7532

***

Entry 12:
11
Lattice="8.5993 -2.3523 0.0000 8.5993 2.3523 0.0000 -2.0708 0.0000 6.5276" Properties=species:S:1:pos:R:3 comment="PBE Tm8Os2Ru, optimized geometry" energy_ev_per_atom=-6.4331 pbc="T T T"
Tm -0.0980 0.0000 1.9237
Tm 1.8352 0.0000 5.3003
Tm 4.5965 0.0000 3.5136
Tm 6.8402 0.0000 0.2564
Tm 8.2875 0.0000 6.2712
Tm 10.5312 0.0000 3.0140
Tm 13.2925 0.0000 1.2274
Tm 15.2257 0.0000 4.6039
Os 2.7474 0.0000 1.2940
Os 12.3803 0.0000 5.2336
Ru 7.5639 0.0000 3.2638